[1]
Here is crystalline Ir2OsAu at its relaxed geometry from Alexandria via LeMat-Bulk. Energies are from PBE-GGA.

```
Ir2OsAu
1.0
-0.426 -2.358 -1.362
2.430 0.499 1.200
-3.156 -4.109 8.103
Ir Os Au
2 1 1
direct
0.000 0.000 0.486
0.000 0.000 0.014
0.500 0.500 0.250
0.500 0.500 0.750
```

Results
As for the total energy: -7.6112 eV per atom. For the theoretical density, the calculation gives 20.3 Mg/m³.



[2]
Here is crystalline Ir2OsAu at its relaxed geometry from Alexandria via LeMat-Bulk. Energies are from PBE-GGA.

```
Ir2OsAu
1.0
-0.578 0.328 9.201
-0.493 -2.444 8.882
1.880 -0.976 8.979
Ir Os Au
2 1 1
direct
0.505 0.505 0.505
0.995 0.995 0.995
0.250 0.250 0.250
0.750 0.750 0.750
```

Results
As for the total energy: -7.8681 eV per atom. For the theoretical density, the calculation gives 20.9 Mg/m³.



[3]
Here is crystalline Ir2OsAu at its relaxed geometry from Alexandria via LeMat-Bulk. Energies are from PBE-GGA.

```
Ir2OsAu
1.0
4.448 0.000 0.000
2.224 3.852 0.000
2.224 1.284 3.632
Au Ir Os
1 2 1
direct
0.500 0.500 0.500
0.000 0.000 0.000
0.250 0.250 0.250
0.750 0.750 0.750
```

Results
As for the total energy: -7.2947 eV per atom. For the theoretical density, the calculation gives 20.6 Mg/m³.



[4]
Here is crystalline Ir2OsAu at its relaxed geometry from Alexandria via LeMat-Bulk. Energies are from PBE-GGA.

```
Ir2OsAu
1.0
2.731 0.000 0.000
0.000 4.823 0.000
0.000 0.000 4.726
Au Ir Os
1 2 1
direct
0.000 0.500 0.500
0.000 0.000 0.000
0.500 0.500 0.000
0.500 0.000 0.500
```

Results
As for the total energy: -7.4171 eV per atom. For the theoretical density, the calculation gives 20.6 Mg/m³.



[5]
Here is crystalline Ir2OsAu at its relaxed geometry from Alexandria via LeMat-Bulk. Energies are from PBE-GGA.

```
Ir2OsAu
1.0
2.771 0.000 0.000
0.000 2.771 0.000
0.000 0.000 7.966
Os Ir Au
1 2 1
direct
0.000 0.000 0.482
0.000 0.000 0.014
0.500 0.500 0.256
0.500 0.500 0.748
```

Results
As for the total energy: -7.7585 eV per atom. For the theoretical density, the calculation gives 21.0 Mg/m³.



[6]
Here is crystalline Ir2OsAu at its relaxed geometry from Alexandria via LeMat-Bulk. Energies are from PBE-GGA.

```
Ir2OsAu
1.0
5.713 0.018 -0.006
3.163 4.758 0.006
-3.817 -3.543 2.350
Os Au Ir
1 1 2
direct
0.525 0.525 0.000
0.260 0.760 0.500
0.975 0.975 0.000
0.740 0.240 0.500
```

Results
As for the total energy: -7.5824 eV per atom. For the theoretical density, the calculation gives 20.1 Mg/m³.



[7]
Here is crystalline IrOs2PbAu at its relaxed geometry from Alexandria via LeMat-Bulk. Energies are from PBE-GGA.

```
IrOs2PbAu
1.0
4.735 0.000 0.000
0.000 5.148 0.000
0.000 0.000 4.735
Os Au Pb Ir
2 1 1 1
direct
0.000 0.000 0.500
0.500 0.000 0.000
0.000 0.500 0.000
0.500 0.500 0.500
0.000 0.000 0.000
```

Results
As for the total energy: -6.0744 eV per atom. For the theoretical density, the calculation gives 14.1 Mg/m³.



[8]
Here is crystalline IrOsPdAu2 at its relaxed geometry from Alexandria via LeMat-Bulk. Energies are from PBE-GGA.

```
IrOsPdAu2
1.0
5.013 0.000 0.000
0.000 4.616 0.000
0.000 0.000 5.013
Au Os Pd Ir
2 1 1 1
direct
0.000 0.000 0.500
0.500 0.000 0.000
0.000 0.000 0.000
0.500 0.500 0.500
0.000 0.500 0.000
```

Results
As for the total energy: -4.8148 eV per atom. For the theoretical density, the calculation gives 12.6 Mg/m³.



[9]
Here is crystalline IrOsRuAu2 at its relaxed geometry from Alexandria via LeMat-Bulk. Energies are from PBE-GGA.

```
IrOsRuAu2
1.0
-0.172 0.911 -4.888
3.790 -2.457 -0.592
-2.755 -4.089 -0.665
Os Au Ir Ru
1 2 1 1
direct
0.500 0.500 0.500
0.000 0.000 0.500
0.500 0.000 0.000
0.000 0.000 0.000
0.000 0.500 0.000
```

Results
As for the total energy: -5.0309 eV per atom. For the theoretical density, the calculation gives 12.9 Mg/m³.



[10]
Here is crystalline SbIr2OsAu at its relaxed geometry from Alexandria via LeMat-Bulk. Energies are from PBE-GGA.

```
SbIr2OsAu
1.0
-1.512 -4.228 1.466
3.146 -2.266 -3.289
3.388 -0.071 3.290
Sb Os Ir Au
1 1 2 1
direct
0.500 0.500 0.500
0.000 0.000 0.000
0.000 0.000 0.500
0.500 0.000 0.000
0.000 0.500 0.000
```

Results
For the formation energy from raw total energies, the calculation gives 6.968 eV per formula unit. For the theoretical density, the calculation gives 13.1 Mg/m³.



[11]
Here is crystalline SnIr2OsAu at its relaxed geometry from Alexandria via LeMat-Bulk. Energies are from PBE-GGA.

```
SnIr2OsAu
1.0
-0.649 -4.339 -1.778
2.486 -2.020 4.022
-4.092 -0.352 2.353
Ir Os Au Sn
2 1 1 1
direct
0.000 0.000 0.500
0.500 0.000 0.000
0.000 0.000 0.000
0.000 0.500 0.000
0.500 0.500 0.500
```

Results
As for the total energy: -5.9675 eV per atom. For the theoretical density, the calculation gives 12.8 Mg/m³.



[12]
Here is crystalline TaIr2OsAu at its relaxed geometry from Alexandria via LeMat-Bulk. Energies are from PBE-GGA.

```
TaIr2OsAu
1.0
-2.264 1.322 -3.908
2.607 -3.308 -2.630
-3.304 -3.251 0.814
Ir Au Os Ta
2 1 1 1
direct
0.500 0.000 0.000
0.000 0.000 0.500
0.000 0.500 0.000
0.500 0.500 0.500
0.000 0.000 0.000
```

Results
As for the total energy: -6.7131 eV per atom. For the theoretical density, the calculation gives 14.4 Mg/m³.